5
Lattice="5.025 0.000 0.000 0.000 5.025 0.000 0.000 0.000 4.498" Properties=species:S:1:pos:R:3 comment="SnGe2MoS, optimized geometry, DFT PBE" dos_ef_per_ev_atom=0.76 crystal_system=tetragonal spacegroup="P4/mmm, No. 123" e_above_lowest_polymorph_mev_per_atom=356.8 raw_formation_energy_mev_per_atom=665 vol_a3_per_atom=22.72 dft_energy_ry_per_atom=-0.3656 pbc="T T T"
Sn 0.000 0.000 0.000
Ge 0.000 2.513 2.249
Ge 2.513 0.000 2.249
Mo 2.513 2.513 0.000
S 2.513 2.513 2.249